Sc5Nb2C5 (PBE, optimized geometry); N(E_F) = 0.6053 states/eV/atom; energy of formation = -44.8 kJ per mole of atoms; magnetization = 0.00 Bohr magnetons per cell; electronic total energy = -103.49 eV for the cell shown
1.0
-0.230 -3.252 -0.467
3.665 0.812 4.158
-8.841 0.037 4.100
Nb Sc C
2 5 5
direct
0.971 0.941 0.211
0.029 0.059 0.789
0.656 0.313 0.059
0.500 0.000 0.500
0.263 0.526 0.637
0.737 0.474 0.363
0.344 0.687 0.941
0.000 0.000 0.000
0.114 0.228 0.419
0.886 0.772 0.581
0.666 0.332 0.803
0.334 0.668 0.197